1.
The following is a PBE-GGA calculation of crystalline Sr2Li12CdAg3 at its relaxed geometry, from the Alexandria database.

Computed properties:
DFT formation energy = -0.0386 eV per atom
size of the total moment = 0.000 μB/atom

Unit cell a=9.9450 b=9.9450 c=13.9320 alpha=90.00 beta=90.00 gamma=120.00
Space group R-3m (No. 166, hexagonal axes)
Inequivalent atoms, fractional coordinates:
1 Sr 0.0000 0.0000 0.2490
2 Li 0.0241 0.5120 0.7013
3 Li 0.0468 0.5234 0.1048
4 Cd 0.0000 0.0000 0.0000
5 Ag 0.0000 0.5000 0.5000

2.
The following is a PBE-GGA calculation of crystalline MgZrGa3 at its relaxed geometry, from the Alexandria database.

Computed properties:
distance to the lowest polymorph of the same formula = 81 meV/atom
DFT formation energy = 0.5726 eV per atom
size of the total moment = 0.000 μB/atom

Unit cell a=4.8091 b=4.8091 c=4.8091 alpha=90.00 beta=90.00 gamma=90.00
Space group Pm-3m (No. 221)
Inequivalent atoms, fractional coordinates:
1 Mg 0.0000 0.0000 0.0000
2 Zr 0.5000 0.5000 0.5000
3 Ga 0.0000 0.0000 0.5000